DFT (PBE) results for an optimized crystal structure of YThCdHg.

Values from the calculation:
Space group: No. 216
Energy of formation from the pure elements (eV per atom): -0.24
Size of the total moment (μB per formula unit): 0.76

Lattice parameters (Å, degrees): 5.3735 5.3735 5.3735 60.00 60.00 60.00
Last column: nearest neighbours and their distance in Å.
Atoms (fractional coordinates):
Y (0.7500, 0.7500, 0.7500)  4 Hg 3.29, 4 Cd 3.29
Hg (0.5000, 0.5000, 0.5000)  4 Th 3.29, 4 Y 3.29
Th (0.2500, 0.2500, 0.2500)  4 Cd 3.29, 4 Hg 3.29
Cd (0.0000, 0.0000, 0.0000)  4 Th 3.29, 4 Y 3.29

DFT (PBE) results for an optimized crystal structure of YBeW4.

Values from the calculation:
Space group: No. 216
Energy of formation from the pure elements (eV per atom): 0.59
Size of the total moment (μB per formula unit): 0.00

Lattice parameters (Å, degrees): 5.3921 5.3921 5.3921 60.00 60.00 60.00
Last column: nearest neighbours and their distance in Å.
Atoms (fractional coordinates):
W (0.3743, 0.3743, 0.8770)  6 W 2.68-2.71
W (0.3743, 0.8770, 0.3743)  6 W 2.68-2.71
W (0.3743, 0.3743, 0.3743)  6 W 2.68-2.71
W (0.8770, 0.3743, 0.3743)  6 W 2.68-2.71
Be (0.0000, 0.0000, 0.0000)  12 W 3.16, 4 Y 3.30
Y (0.7500, 0.7500, 0.7500)  12 W 3.16, 4 Be 3.30

DFT (PBE) results for an optimized crystal structure of PuHSe.

Values from the calculation:
Space group: No. 91
DFT total energy (eV/atom): -7.92
Size of the total moment (μB per formula unit): 5.92

Lattice parameters (Å, degrees): 4.0998 4.0998 31.5629 90.00 90.00 90.00
Last column: nearest neighbours and their distance in Å.
Atoms (fractional coordinates):
Pu (0.9611, 0.4573, 0.9159)  2 H 2.67-2.70, 5 Se 2.92-2.95
Pu (0.5427, 0.0389, 0.3341)  2 H 2.67-2.70, 5 Se 2.92-2.95
Pu (0.9611, 0.5427, 0.5841)  2 H 2.67-2.70, 5 Se 2.92-2.95
Pu (0.4573, 0.9611, 0.8341)  2 H 2.67-2.70, 5 Se 2.92-2.95
Pu (0.0389, 0.5427, 0.4159)  2 H 2.67-2.70, 5 Se 2.92-2.95
Pu (0.5427, 0.9611, 0.1659)  2 H 2.67-2.70, 5 Se 2.92-2.95
Pu (0.0389, 0.4573, 0.0841)  2 H 2.67-2.70, 5 Se 2.92-2.95
Pu (0.4573, 0.0389, 0.6659)  2 H 2.67-2.70, 5 Se 2.92-2.95
H (0.4498, 0.9057, 0.7488)  1 H 0.78
H (0.5502, 0.0943, 0.2488)  1 H 0.78
H (0.0943, 0.4498, 0.9988)  1 H 0.78
H (0.9057, 0.5502, 0.4988)  1 H 0.78
H (0.0943, 0.5502, 0.5012)  1 H 0.78
H (0.4498, 0.0943, 0.7512)  1 H 0.78
H (0.9057, 0.4498, 0.0012)  1 H 0.78
H (0.5502, 0.9057, 0.2512)  1 H 0.78
Se (0.4614, 0.9573, 0.9276)  5 Pu 2.92-2.95
Se (0.9573, 0.5386, 0.6776)  5 Pu 2.92-2.95
Se (0.5386, 0.9573, 0.0724)  5 Pu 2.92-2.95
Se (0.9573, 0.4614, 0.8224)  5 Pu 2.92-2.95
Se (0.4614, 0.0427, 0.5724)  5 Pu 2.92-2.95
Se (0.0427, 0.4614, 0.1776)  5 Pu 2.92-2.95
Se (0.0427, 0.5386, 0.3224)  5 Pu 2.92-2.95
Se (0.5386, 0.0427, 0.4276)  5 Pu 2.92-2.95

DFT (PBE) results for an optimized crystal structure of CdMoRu2.

Values from the calculation:
Space group: No. 123
Energy of formation from the pure elements (eV per atom): 0.36
Size of the total moment (μB per formula unit): 0.00

Lattice parameters (Å, degrees): 4.3893 4.3893 3.2681 90.00 90.00 90.01
Last column: nearest neighbours and their distance in Å.
Atoms (fractional coordinates):
Cd (0.5000, 0.0000, 0.5000)  8 Ru 2.74
Mo (0.0000, 0.5000, 0.5000)  8 Ru 2.74
Ru (0.0000, 0.0000, 0.0000)  4 Cd 2.74, 4 Mo 2.74
Ru (0.5000, 0.5000, 0.0000)  4 Mo 2.74, 4 Cd 2.74

DFT (PBE) results for an optimized crystal structure of Ca4Te.

Values from the calculation:
ΔE_f (raw) (eV/atom): -0.28
Space group: No. 229
Size of the total moment (μB per formula unit): 0.00

Lattice parameters (Å, degrees): 6.4254 6.4254 6.4254 109.47 109.47 109.47
Last column: nearest neighbours and their distance in Å.
Atoms (fractional coordinates):
Ca (0.5000, 0.0000, 0.0000)  2 Te 3.21
Ca (0.0000, 0.5000, 0.0000)  2 Te 3.21
Ca (0.5000, 0.5000, 0.5000)  2 Te 3.21
Ca (0.0000, 0.0000, 0.5000)  2 Te 3.21
Te (0.0000, 0.0000, 0.0000)  8 Ca 3.21